# 1
Density functional theory data (PBE-GGA) for an optimized crystal structure of K3HICl.

Symmetry ... P2_1/m (11)
M_tot ... 0.03 μB/f.u.
DFT total energy ... -34.09 eV for the cell shown
N(E_F) ... 0.00 states/eV/f.u.

Cell: 4.958 8.671 10.351 Å, 109.44 90.00 90.00°
Fractional coordinates of all 12 atoms:
1 K 0.250 0.825 0.457
2 K 0.750 0.915 0.142
3 K 0.750 0.506 0.191
4 K 0.750 0.175 0.543
5 K 0.250 0.494 0.809
6 K 0.250 0.085 0.858
7 H 0.250 0.149 0.624
8 H 0.750 0.851 0.376
9 I 0.750 0.760 0.743
10 I 0.250 0.240 0.257
11 Cl 0.250 0.688 0.117
12 Cl 0.750 0.312 0.883

***

# 2
Density functional theory data (PBE-GGA) for an optimized crystal structure of La3NdHg.

Energy relative to the elements ... -0.190 eV per atom
Symmetry ... P-1 (2)
M_tot ... 0.00 μB/f.u.
DFT total energy ... -41.61 eV for the cell shown
N(E_F) ... 6.51 states/eV/f.u.

Cell: 3.840 8.939 10.229 Å, 102.59 100.81 89.96°
Fractional coordinates of all 10 atoms:
1 La 0.618 0.949 0.495
2 La 0.212 0.276 0.680
3 La 0.418 0.403 0.095
4 La 0.227 0.737 0.712
5 La 0.412 0.821 0.080
6 La 0.604 0.488 0.463
7 Nd 0.821 0.078 0.903
8 Nd 0.010 0.147 0.273
9 Hg 0.022 0.691 0.302
10 Hg 0.808 0.534 0.873

***

# 3
Density functional theory data (PBE-GGA) for an optimized crystal structure of DyAl2Ga.

Energy relative to the elements ... -0.004 eV per atom
Symmetry ... R-3m (166)
M_tot ... 0.00 μB/f.u.
DFT total energy ... -45.39 eV for the cell shown
N(E_F) ... 2.21 states/eV/f.u.

Cell: 6.574 6.574 6.574 Å, 100.48 100.48 100.48°
Fractional coordinates of all 12 atoms:
1 Dy 0.329 0.329 0.329
2 Dy 0.671 0.671 0.671
3 Dy 0.000 0.000 0.000
4 Al 0.500 0.236 0.764
5 Al 0.764 0.500 0.236
6 Al 0.236 0.764 0.500
7 Al 0.500 0.764 0.236
8 Al 0.764 0.236 0.500
9 Al 0.236 0.500 0.764
10 Ga 0.000 0.000 0.500
11 Ga 0.000 0.500 0.000
12 Ga 0.500 0.000 0.000

***

# 4
Density functional theory data (PBE-GGA) for an optimized crystal structure of NaFeCl4.

Symmetry ... C2/c (15)
M_tot ... 1.00 μB/f.u.
DFT total energy ... -45.82 eV for the cell shown
Formation energy (no corrections) ... -0.9572 eV/atom
N(E_F) ... 6.14 states/eV/f.u.

Cell: 8.525 5.984 8.209 Å, 97.12 110.51 117.60°
Fractional coordinates of all 12 atoms:
1 Na 0.233 0.483 0.967
2 Na 0.767 0.517 0.033
3 Fe 0.058 0.808 0.615
4 Fe 0.942 0.192 0.385
5 Cl 0.011 0.335 0.160
6 Cl 0.649 0.825 0.160
7 Cl 0.217 0.590 0.604
8 Cl 0.783 0.410 0.396
9 Cl 0.113 0.986 0.396
10 Cl 0.351 0.175 0.840
11 Cl 0.887 0.014 0.604
12 Cl 0.989 0.665 0.840